1.
Below is a geometry-optimized H3RhN structure, with properties calculated at the PBEsol level.

Cell: 3.0919 3.0919 3.0919 Å, 90.00 90.00 90.00°
Last column: nearest neighbours and their distance in Å.
Element x y z (fractional)
H  0.0000  0.0000  0.5000  2 N 1.55
H  0.0000  0.5000  0.0000  2 N 1.55
H  0.5000  0.0000  0.0000  2 N 1.55
Rh  0.5000  0.5000  0.5000  12 H 2.19
N  0.0000  0.0000  0.0000  6 H 1.55

* V: 30 Å³/cell
* total DFT energy (no corrections): -21.2 eV per cell
* ρ: 6.74 g cm⁻³
* symmetry: No. 221

2.
Below is a geometry-optimized HRuN2 structure, with properties calculated at the PBEsol level.

Cell: 5.0048 5.0048 5.0048 Å, 34.11 34.11 34.11°
Last column: nearest neighbours and their distance in Å.
Element x y z (fractional)
H  0.0000  0.0000  0.0000  2 N 1.26
Ru  0.5000  0.5000  0.5000  6 N 2.02
N  0.0895  0.0895  0.0895  1 H 1.26
N  0.9105  0.9105  0.9105  1 H 1.26

* V: 35 Å³/cell
* total DFT energy (no corrections): -29.1 eV per cell
* ρ: 6.15 g cm⁻³
* symmetry: No. 166

3.
Below is a geometry-optimized H3RuN structure, with properties calculated at the PBEsol level.

Cell: 3.0783 3.0783 3.0783 Å, 90.00 90.00 90.00°
Last column: nearest neighbours and their distance in Å.
Element x y z (fractional)
H  0.0000  0.0000  0.5000  2 N 1.54
H  0.0000  0.5000  0.0000  2 N 1.54
H  0.5000  0.0000  0.0000  2 N 1.54
Ru  0.5000  0.5000  0.5000  12 H 2.18
N  0.0000  0.0000  0.0000  6 H 1.54

* V: 29 Å³/cell
* total DFT energy (no corrections): -22.4 eV per cell
* ρ: 6.72 g cm⁻³
* symmetry: No. 221